Record 1
## Ba3YHg (PBE)

Data for crystalline Ba3YHg at its relaxed geometry.

POSCAR file:
```
Ba3YHg
1.0
6.564 0.000 0.000
0.000 6.564 0.000
0.000 0.000 6.564
Ba Y Hg
3 1 1
direct
0.000 0.000 0.500 Ba
0.000 0.500 0.000 Ba
0.500 0.000 0.000 Ba
0.000 0.000 0.000 Y
0.500 0.500 0.500 Hg
```

Properties
Its formation energy from the elements is 0.55 eV per atom. The size of the total moment comes out at 0.00 μB per atom.

Record 2
## CaZrC (PBE)

Data for crystalline CaZrC at its relaxed geometry.

POSCAR file:
```
CaZrC
1.0
3.038 -1.754 0.000
3.038 1.754 0.000
-2.043 0.000 11.734
Ca Zr C
2 2 2
direct
0.118 0.118 0.351 Ca
0.882 0.882 0.649 Ca
0.291 0.291 0.874 Zr
0.709 0.709 0.126 Zr
0.404 0.404 0.208 C
0.596 0.596 0.792 C
```

Properties
Its formation energy from the elements is -0.19 eV per atom. The size of the total moment comes out at 0.00 μB per atom.

Record 3
## Zn4InGa4 (PBE)

Data for crystalline Zn4InGa4 at its relaxed geometry.

POSCAR file:
```
Zn4InGa4
1.0
6.084 0.000 0.000
0.000 6.084 0.000
0.000 0.000 9.195
Zn In Ga
8 2 8
direct
0.036 0.250 0.184 Zn
0.250 0.036 0.684 Zn
0.250 0.464 0.684 Zn
0.464 0.250 0.184 Zn
0.536 0.750 0.816 Zn
0.750 0.536 0.316 Zn
0.750 0.964 0.316 Zn
0.964 0.750 0.816 Zn
0.250 0.750 0.250 In
0.750 0.250 0.750 In
0.013 0.250 0.470 Ga
0.250 0.013 0.970 Ga
0.250 0.487 0.970 Ga
0.487 0.250 0.470 Ga
0.513 0.750 0.530 Ga
0.750 0.513 0.030 Ga
0.750 0.987 0.030 Ga
0.987 0.750 0.530 Ga
```

Properties
Its formation energy from the elements is 0.08 eV per atom. The size of the total moment comes out at 0.00 μB per atom.

Record 4
## TlAgHgOs2 (PBE)

Data for crystalline TlAgHgOs2 at its relaxed geometry.

POSCAR file:
```
TlAgHgOs2
1.0
5.042 0.000 0.000
0.000 5.042 0.000
0.000 0.000 5.101
Tl Ag Hg Os
1 1 1 2
direct
0.000 0.000 0.000 Tl
0.000 0.000 0.500 Ag
0.500 0.500 0.500 Hg
0.000 0.500 0.000 Os
0.500 0.000 0.000 Os
```

Properties
Its formation energy from the elements is 2.35 eV per atom. The size of the total moment comes out at 0.52 μB per atom.

Record 5
## BeTePb2 (PBE)

Data for crystalline BeTePb2 at its relaxed geometry.

POSCAR file:
```
BeTePb2
1.0
-3.169 3.169 6.426
3.169 -3.169 6.426
3.169 3.169 -6.426
Be Te Pb
2 2 4
direct
0.000 0.000 0.000 Be
0.750 0.250 0.500 Be
0.250 0.750 0.500 Te
0.500 0.500 0.000 Te
0.044 0.625 0.919 Pb
0.375 0.294 0.419 Pb
0.706 0.125 0.081 Pb
0.875 0.956 0.581 Pb
```

Properties
The value obtained for the total DFT energy (no corrections) is -3.346 eV per atom. The size of the total moment comes out at 0.00 μB per atom.

Record 6
## Ca3Cd2Ge4 (PBE)

Data for crystalline Ca3Cd2Ge4 at its relaxed geometry.

POSCAR file:
```
Ca3Cd2Ge4
1.0
5.866 -2.201 0.000
5.866 2.201 0.000
-2.388 0.000 8.297
Ca Cd Ge
3 2 4
direct
0.000 0.000 0.000 Ca
0.385 0.385 0.299 Ca
0.615 0.615 0.701 Ca
0.305 0.305 0.635 Cd
0.695 0.695 0.365 Cd
0.064 0.064 0.396 Ge
0.292 0.292 0.947 Ge
0.708 0.708 0.053 Ge
0.936 0.936 0.604 Ge
```

Properties
Its formation energy from the elements is -0.45 eV per atom. The size of the total moment comes out at 0.00 μB per atom.